Entry 1:
ZrHRh3 | Alexandria via LeMat-Bulk | PBE-GGA | optimized geometry; Fermi-level density of states = 0.649 states/eV/atom; space group = Cmm2; calculated density = 10.11 g cm⁻³; total DFT energy (no corrections) = -73.55 eV per cell; total magnetization = 0.0 μB per cell
1.0
8.1314 -0.0006 0.0011
0.0000 4.0244 0.0017
-0.0011 -0.0079 4.0245
H Zr Rh
2 2 6
direct
0.9202 0.4408 0.4914
0.9200 0.8070 0.8576
0.5625 0.1243 0.1748
0.0826 0.1242 0.1746
0.0910 0.6243 0.6747
0.3223 0.1243 0.6747
0.8046 0.1243 0.6748
0.5643 0.6243 0.6748
0.3223 0.6243 0.1747
0.8046 0.6243 0.1748

=====

Entry 2:
ZrHRh3 | Alexandria via LeMat-Bulk | PBE-GGA | optimized geometry; Fermi-level density of states = 0.972 states/eV/atom; space group = C2/c; calculated density = 10.07 g cm⁻³; total DFT energy (no corrections) = -144.33 eV per cell; total magnetization = 0.0 μB per cell
1.0
12.3890 0.0000 -0.4213
5.2665 4.9873 -2.3187
-5.2665 4.9873 2.3187
Zr Rh H
4 12 4
direct
0.2500 0.8866 0.3866
0.2500 0.3867 0.8867
0.7500 0.1134 0.6134
0.7500 0.6133 0.1133
0.7618 0.3208 0.3443
0.7382 0.8443 0.8208
0.7534 0.6970 0.4710
0.2532 0.7962 0.0356
0.7532 0.4644 0.7038
0.7468 0.2038 0.9644
0.2468 0.5356 0.2962
0.2466 0.3030 0.5290
0.2618 0.1557 0.1792
0.2534 0.0290 0.8030
0.7466 0.9710 0.1970
0.2382 0.6792 0.6557
0.9978 0.6072 0.8904
0.4978 0.6096 0.8928
0.5022 0.3904 0.1072
0.0022 0.3928 0.1096

=====

Entry 3:
ZrHRh3 | Alexandria via LeMat-Bulk | PBE-GGA | optimized geometry; Fermi-level density of states = 1.446 states/eV/atom; space group = P6_3/mmc; calculated density = 9.62 g cm⁻³; total DFT energy (no corrections) = -68.90 eV per cell; total magnetization = 0.0 μB per cell
1.0
-4.3550 0.3446 1.0039
1.2594 -1.2164 -4.1264
-0.0917 -7.6382 2.2236
Rh H Zr
6 2 2
direct
0.0000 0.0000 0.2500
0.6667 0.3333 0.5765
0.3333 0.6667 0.0765
0.0000 0.0000 0.7500
0.3333 0.6667 0.4235
0.6667 0.3333 0.9235
0.0000 0.0000 0.5000
0.0000 0.0000 0.0000
0.6667 0.3333 0.2500
0.3333 0.6667 0.7500

=====

Entry 4:
ZrHRh3 | Alexandria via LeMat-Bulk | PBE-GGA | optimized geometry; Fermi-level density of states = 1.023 states/eV/atom; space group = Fd-3m; calculated density = 9.22 g cm⁻³; total DFT energy (no corrections) = -140.33 eV per cell; total magnetization = 0.0 μB per cell
1.0
6.0512 -3.6322 -2.2941
3.4746 -4.6883 4.5848
-0.3068 -7.3108 -1.2373
Zr Rh H
4 12 4
direct
0.6250 0.1250 0.6250
0.6250 0.6250 0.6250
0.1250 0.6250 0.6250
0.6250 0.6250 0.1250
0.4401 0.0599 0.0599
0.4401 0.4401 0.0599
0.0599 0.4401 0.4401
0.8099 0.1901 0.8099
0.8099 0.8099 0.1901
0.1901 0.8099 0.8099
0.1901 0.1901 0.8099
0.8099 0.1901 0.1901
0.0599 0.4401 0.0599
0.1901 0.8099 0.1901
0.4401 0.0599 0.4401
0.0599 0.0599 0.4401
0.1250 0.1250 0.1250
0.1250 0.1250 0.6250
0.6250 0.1250 0.1250
0.1250 0.6250 0.1250

=====

Entry 5:
Zr2H4Rh | Alexandria via LeMat-Bulk | PBE-GGA | optimized geometry; Fermi-level density of states = 0.243 states/eV/atom; space group = P2_1/m; calculated density = 6.54 g cm⁻³; total DFT energy (no corrections) = -81.12 eV per cell; total magnetization = 0.0 μB per cell
1.0
5.5759 0.0000 -0.2859
0.0000 4.2477 0.0000
-2.3666 0.0000 6.3260
H Rh Zr
8 2 4
direct
0.0373 0.7500 0.4072
0.3961 0.5138 0.7461
0.0966 0.7500 0.9083
0.3961 0.9862 0.7461
0.6039 0.0138 0.2539
0.9034 0.2500 0.0917
0.6039 0.4862 0.2539
0.9627 0.2500 0.5928
0.3456 0.7500 0.2044
0.6544 0.2500 0.7956
0.7857 0.7500 0.5630
0.1930 0.2500 0.9169
0.8070 0.7500 0.0831
0.2143 0.2500 0.4370

=====

Entry 6:
ZrHRh3 | Alexandria via LeMat-Bulk | PBE-GGA | optimized geometry; Fermi-level density of states = 1.129 states/eV/atom; space group = I-4m2; calculated density = 9.45 g cm⁻³; total DFT energy (no corrections) = -69.06 eV per cell; total magnetization = 0.0 μB per cell
1.0
-4.5848 1.1521 1.9073
0.1427 -4.2026 2.8816
0.1443 1.2884 6.3807
Rh H Zr
6 2 2
direct
0.8473 0.0954 0.3055
0.3711 0.3711 0.2578
0.8473 0.5991 0.3055
0.4009 0.1527 0.6945
0.6289 0.6289 0.7422
0.9046 0.1527 0.6945
0.0000 0.0000 0.0000
0.2500 0.7500 0.5000
0.0667 0.5667 0.8666
0.4333 0.9333 0.1334